# 1
VASP calculation (GGA-PBE) on a geometry-optimized Rb2SiPd structure.

```
data_Rb2SiPd
_chemical_formula_sum 'Rb8 Si4 Pd4'
_cell_length_a 13.0371
_cell_length_b 13.0371
_cell_length_c 4.6024
_cell_angle_alpha 90.00
_cell_angle_beta 90.00
_cell_angle_gamma 90.00
_symmetry_space_group_name_H-M 'P 1'
_symmetry_Int_Tables_number 1
_symmetry_space_group_name_Hall 'P 1'
loop_
_atom_site_label
_atom_site_type_symbol
_atom_site_fract_x
_atom_site_fract_y
_atom_site_fract_z
Rb1 Rb 0.0441 0.2500 0.1250
Rb2 Rb 0.2500 0.5441 0.3750
Rb3 Rb 0.2500 0.9559 0.8750
Rb4 Rb 0.4559 0.2500 0.6250
Rb5 Rb 0.5441 0.7500 0.6250
Rb6 Rb 0.7500 0.0441 0.8750
Rb7 Rb 0.7500 0.4559 0.3750
Rb8 Rb 0.9559 0.7500 0.1250
Si1 Si 0.0000 0.0000 0.5000
Si2 Si 0.0000 0.5000 0.7500
Si3 Si 0.5000 0.0000 0.2500
Si4 Si 0.5000 0.5000 0.0000
Pd1 Pd 0.0000 0.0000 0.0000
Pd2 Pd 0.0000 0.5000 0.2500
Pd3 Pd 0.5000 0.0000 0.7500
Pd4 Pd 0.5000 0.5000 0.5000
```

As for the density: 2.59 g cm⁻³. The total magnetic moment is 0.000 μB per cell. The value obtained for the formation energy from raw total energies is -10 meV/atom.

# 2
VASP calculation (GGA-PBE) on a geometry-optimized Pr2MgTc structure.

```
data_Pr2MgTc
_chemical_formula_sum 'Pr2 Mg1 Tc1'
_cell_length_a 3.5792
_cell_length_b 3.5792
_cell_length_c 8.3735
_cell_angle_alpha 90.00
_cell_angle_beta 90.00
_cell_angle_gamma 90.00
_symmetry_space_group_name_H-M 'P 1'
_symmetry_Int_Tables_number 1
_symmetry_space_group_name_Hall 'P 1'
loop_
_atom_site_label
_atom_site_type_symbol
_atom_site_fract_x
_atom_site_fract_y
_atom_site_fract_z
Pr1 Pr 0.0000 0.0000 0.2046
Pr2 Pr 0.0000 0.0000 0.7954
Mg1 Mg 0.5000 0.5000 0.5000
Tc1 Tc 0.5000 0.5000 0.0000
```

As for the density: 6.26 g cm⁻³. The total magnetic moment is 0.000 μB per cell. The calculation puts the formation energy at 6.93 kJ/mol of atoms.

# 3
VASP calculation (GGA-PBE) on a geometry-optimized NpCdP2N6 structure.

```
data_NpCdP2N6
_chemical_formula_sum 'Np2 Cd2 P4 N12'
_cell_length_a 6.9980
_cell_length_b 6.9980
_cell_length_c 5.0937
_cell_angle_alpha 99.65
_cell_angle_beta 99.65
_cell_angle_gamma 87.80
_symmetry_space_group_name_H-M 'P 1'
_symmetry_Int_Tables_number 1
_symmetry_space_group_name_Hall 'P 1'
loop_
_atom_site_label
_atom_site_type_symbol
_atom_site_fract_x
_atom_site_fract_y
_atom_site_fract_z
Np1 Np 0.2063 0.7937 0.7500
Np2 Np 0.7937 0.2063 0.2500
Cd1 Cd 0.4116 0.5884 0.2500
Cd2 Cd 0.5884 0.4116 0.7500
P1 P 0.1274 0.2902 0.7719
P2 P 0.2902 0.1274 0.2719
P3 P 0.7098 0.8726 0.7281
P4 P 0.8726 0.7098 0.2281
N1 N 0.0931 0.6715 0.3820
N2 N 0.1076 0.2084 0.0561
N3 N 0.2084 0.1076 0.5561
N4 N 0.2536 0.4864 0.8310
N5 N 0.3285 0.9069 0.1180
N6 N 0.4864 0.2536 0.3310
N7 N 0.5136 0.7464 0.6690
N8 N 0.6715 0.0931 0.8820
N9 N 0.7464 0.5136 0.1690
N10 N 0.7916 0.8924 0.4439
N11 N 0.8924 0.7916 0.9439
N12 N 0.9069 0.3285 0.6180
```

As for the density: 6.79 g cm⁻³. The total magnetic moment is 1.999 μB per cell. The value obtained for the formation energy from raw total energies is -347 meV/atom.

# 4
VASP calculation (GGA-PBE) on a geometry-optimized NiAsS structure.

```
data_NiAsS
_chemical_formula_sum 'Ni4 As4 S4'
_cell_length_a 5.7015
_cell_length_b 5.7015
_cell_length_c 5.7015
_cell_angle_alpha 90.00
_cell_angle_beta 90.00
_cell_angle_gamma 90.00
_symmetry_space_group_name_H-M 'P 1'
_symmetry_Int_Tables_number 1
_symmetry_space_group_name_Hall 'P 1'
loop_
_atom_site_label
_atom_site_type_symbol
_atom_site_fract_x
_atom_site_fract_y
_atom_site_fract_z
Ni1 Ni 0.0069 0.4931 0.5069
Ni2 Ni 0.4931 0.5069 0.0069
Ni3 Ni 0.5069 0.0069 0.4931
Ni4 Ni 0.9931 0.9931 0.9931
As1 As 0.1206 0.8794 0.3794
As2 As 0.3794 0.1206 0.8794
As3 As 0.6206 0.6206 0.6206
As4 As 0.8794 0.3794 0.1206
S1 S 0.1156 0.6156 0.8844
S2 S 0.3844 0.3844 0.3844
S3 S 0.6156 0.8844 0.1156
S4 S 0.8844 0.1156 0.6156
```

As for the density: 5.94 g cm⁻³. The total magnetic moment is 0.000 μB per cell. The value obtained for the formation energy from raw total energies is -332 meV/atom.

# 5
VASP calculation (GGA-PBE) on a geometry-optimized HfTiC3 structure.

```
data_HfTiC3
_chemical_formula_sum 'Hf1 Ti1 C3'
_cell_length_a 4.1573
_cell_length_b 4.1573
_cell_length_c 4.1573
_cell_angle_alpha 90.00
_cell_angle_beta 90.00
_cell_angle_gamma 90.00
_symmetry_space_group_name_H-M 'P 1'
_symmetry_Int_Tables_number 1
_symmetry_space_group_name_Hall 'P 1'
loop_
_atom_site_label
_atom_site_type_symbol
_atom_site_fract_x
_atom_site_fract_y
_atom_site_fract_z
Hf1 Hf 0.0000 0.0000 0.0000
Ti1 Ti 0.5000 0.5000 0.5000
C1 C 0.0000 0.0000 0.5000
C2 C 0.0000 0.5000 0.0000
C3 C 0.5000 0.0000 0.0000
```

The calculation puts the distance to the lowest polymorph of the same formula at 610 meV/atom. As for the density: 6.06 g cm⁻³. The total magnetic moment is 0.000 μB per cell. The calculation puts the formation energy at 165.57 kJ/mol of atoms.

# 6
VASP calculation (GGA-PBE) on a geometry-optimized CaDy2PuN4 structure.

```
data_CaDy2PuN4
_chemical_formula_sum 'Ca1 Dy2 Pu1 N4'
_cell_length_a 5.9670
_cell_length_b 3.4980
_cell_length_c 5.9714
_cell_angle_alpha 90.00
_cell_angle_beta 108.39
_cell_angle_gamma 90.00
_symmetry_space_group_name_H-M 'P 1'
_symmetry_Int_Tables_number 1
_symmetry_space_group_name_Hall 'P 1'
loop_
_atom_site_label
_atom_site_type_symbol
_atom_site_fract_x
_atom_site_fract_y
_atom_site_fract_z
Ca1 Ca 0.0000 0.0000 0.0000
Dy1 Dy 0.5000 0.0000 0.5000
Dy2 Dy 0.5000 0.5000 0.0000
Pu1 Pu 0.0000 0.5000 0.5000
N1 N 0.2443 0.5000 0.2766
N2 N 0.2525 0.0000 0.7440
N3 N 0.7475 0.0000 0.2560
N4 N 0.7557 0.5000 0.7234
```

As for the density: 9.34 g cm⁻³. The total magnetic moment is 3.979 μB per cell. The value obtained for the formation energy from raw total energies is -1400 meV/atom.

# 7
VASP calculation (GGA-PBE) on a geometry-optimized Pr3Sm2Cd6 structure.

```
data_Pr3Sm2Cd6
_chemical_formula_sum 'Pr3 Sm2 Cd6'
_cell_length_a 19.8257
_cell_length_b 19.8257
_cell_length_c 19.8257
_cell_angle_alpha 167.97
_cell_angle_beta 167.97
_cell_angle_gamma 17.04
_symmetry_space_group_name_H-M 'P 1'
_symmetry_Int_Tables_number 1
_symmetry_space_group_name_Hall 'P 1'
loop_
_atom_site_label
_atom_site_type_symbol
_atom_site_fract_x
_atom_site_fract_y
_atom_site_fract_z
Pr1 Pr 0.0000 0.0000 0.0000
Pr2 Pr 0.1880 0.1880 0.0000
Pr3 Pr 0.8120 0.8120 0.0000
Sm1 Sm 0.3676 0.3676 0.0000
Sm2 Sm 0.6324 0.6324 0.0000
Cd1 Cd 0.0663 0.5663 0.5000
Cd2 Cd 0.2725 0.2725 0.0000
Cd3 Cd 0.4337 0.9337 0.5000
Cd4 Cd 0.5663 0.0663 0.5000
Cd5 Cd 0.7275 0.7275 0.0000
Cd6 Cd 0.9337 0.4337 0.5000
```

As for the density: 6.86 g cm⁻³. The total magnetic moment is 0.000 μB per cell. The calculation puts the formation energy at -1.73 kJ/mol of atoms.

# 8
VASP calculation (GGA-PBE) on a geometry-optimized DyReB4 structure.

```
data_DyReB4
_chemical_formula_sum 'Dy2 Re2 B8'
_cell_length_a 3.1535
_cell_length_b 5.3793
_cell_length_c 7.0908
_cell_angle_alpha 90.00
_cell_angle_beta 90.00
_cell_angle_gamma 90.00
_symmetry_space_group_name_H-M 'P 1'
_symmetry_Int_Tables_number 1
_symmetry_space_group_name_Hall 'P 1'
loop_
_atom_site_label
_atom_site_type_symbol
_atom_site_fract_x
_atom_site_fract_y
_atom_site_fract_z
Dy1 Dy 0.0000 0.0000 0.0000
Dy2 Dy 0.5000 0.5000 0.5000
Re1 Re 0.0000 0.0000 0.5000
Re2 Re 0.5000 0.5000 0.0000
B1 B 0.0000 0.3364 0.2491
B2 B 0.0000 0.3364 0.7509
B3 B 0.0000 0.6636 0.2491
B4 B 0.0000 0.6636 0.7509
B5 B 0.5000 0.1636 0.2509
B6 B 0.5000 0.1636 0.7491
B7 B 0.5000 0.8364 0.2509
B8 B 0.5000 0.8364 0.7491
```

The calculation puts the distance to the lowest polymorph of the same formula at 318 meV/atom. As for the density: 10.82 g cm⁻³. The total magnetic moment is 0.000 μB per cell. The calculation puts the formation energy at -26.21 kJ/mol of atoms.

# 9
VASP calculation (GGA-PBE) on a geometry-optimized Ce2TlCo structure.

```
data_Ce2TlCo
_chemical_formula_sum 'Ce4 Tl2 Co2'
_cell_length_a 3.7738
_cell_length_b 3.7738
_cell_length_c 16.8893
_cell_angle_alpha 90.00
_cell_angle_beta 90.00
_cell_angle_gamma 120.00
_symmetry_space_group_name_H-M 'P 1'
_symmetry_Int_Tables_number 1
_symmetry_space_group_name_Hall 'P 1'
loop_
_atom_site_label
_atom_site_type_symbol
_atom_site_fract_x
_atom_site_fract_y
_atom_site_fract_z
Ce1 Ce 0.3333 0.6667 0.0924
Ce2 Ce 0.3333 0.6667 0.4076
Ce3 Ce 0.6667 0.3333 0.5924
Ce4 Ce 0.6667 0.3333 0.9076
Tl1 Tl 0.3333 0.6667 0.7500
Tl2 Tl 0.6667 0.3333 0.2500
Co1 Co 0.0000 0.0000 0.0000
Co2 Co 0.0000 0.0000 0.5000
```

The calculation puts the distance to the lowest polymorph of the same formula at 18 meV/atom. As for the density: 8.67 g cm⁻³. The total magnetic moment is 1.084 μB per cell. The calculation puts the formation energy at -14.98 kJ/mol of atoms.

# 10
VASP calculation (GGA-PBE) on a geometry-optimized Ho3In3RuRh2 structure.

```
data_Ho3In3RuRh2
_chemical_formula_sum 'Ho3 In3 Ru1 Rh2'
_cell_length_a 7.5771
_cell_length_b 7.5771
_cell_length_c 3.8389
_cell_angle_alpha 90.00
_cell_angle_beta 90.00
_cell_angle_gamma 120.00
_symmetry_space_group_name_H-M 'P 1'
_symmetry_Int_Tables_number 1
_symmetry_space_group_name_Hall 'P 1'
loop_
_atom_site_label
_atom_site_type_symbol
_atom_site_fract_x
_atom_site_fract_y
_atom_site_fract_z
Ho1 Ho 0.0000 0.4019 0.0000
Ho2 Ho 0.4019 0.0000 0.0000
Ho3 Ho 0.5981 0.5981 0.0000
In1 In 0.0000 0.7380 0.5000
In2 In 0.2620 0.2620 0.5000
In3 In 0.7380 0.0000 0.5000
Ru1 Ru 0.0000 0.0000 0.0000
Rh1 Rh 0.3333 0.6667 0.5000
Rh2 Rh 0.6667 0.3333 0.5000
```

As for the density: 9.97 g cm⁻³. The total magnetic moment is 0.000 μB per cell. The calculation puts the formation energy at -60.98 kJ/mol of atoms.

# 11
VASP calculation (GGA-PBE) on a geometry-optimized Ca8InHg2 structure.

```
data_Ca8InHg2
_chemical_formula_sum 'Ca8 In1 Hg2'
_cell_length_a 9.9644
_cell_length_b 9.9644
_cell_length_c 7.6255
_cell_angle_alpha 112.44
_cell_angle_beta 112.44
_cell_angle_gamma 31.57
_symmetry_space_group_name_H-M 'P 1'
_symmetry_Int_Tables_number 1
_symmetry_space_group_name_Hall 'P 1'
loop_
_atom_site_label
_atom_site_type_symbol
_atom_site_fract_x
_atom_site_fract_y
_atom_site_fract_z
Ca1 Ca 0.0000 0.0000 0.0000
Ca2 Ca 0.1576 0.1576 0.5305
Ca3 Ca 0.2103 0.2103 0.1173
Ca4 Ca 0.3962 0.3962 0.6112
Ca5 Ca 0.5001 0.5001 0.3078
Ca6 Ca 0.6040 0.6040 0.8188
Ca7 Ca 0.7900 0.7900 0.6971
Ca8 Ca 0.8426 0.8426 0.2155
In1 In 0.0000 0.0000 0.5839
Hg1 Hg 0.3386 0.3386 0.9523
Hg2 Hg 0.6618 0.6618 0.2759
```

As for the density: 3.82 g cm⁻³. The total magnetic moment is 0.000 μB per cell. The calculation puts the formation energy at -30.34 kJ/mol of atoms.

# 12
VASP calculation (GGA-PBE) on a geometry-optimized CaTlAg2 structure.

```
data_CaTlAg2
_chemical_formula_sum 'Ca1 Tl1 Ag2'
_cell_length_a 3.8105
_cell_length_b 3.8105
_cell_length_c 6.6132
_cell_angle_alpha 90.00
_cell_angle_beta 90.00
_cell_angle_gamma 90.00
_symmetry_space_group_name_H-M 'P 1'
_symmetry_Int_Tables_number 1
_symmetry_space_group_name_Hall 'P 1'
loop_
_atom_site_label
_atom_site_type_symbol
_atom_site_fract_x
_atom_site_fract_y
_atom_site_fract_z
Ca1 Ca 0.0000 0.0000 0.0000
Tl1 Tl 0.0000 0.0000 0.5000
Ag1 Ag 0.5000 0.5000 0.2507
Ag2 Ag 0.5000 0.5000 0.7493
```

As for the density: 7.96 g cm⁻³. The total magnetic moment is 0.000 μB per cell. The calculation puts the formation energy at -14.94 kJ/mol of atoms.